Density functional theory data (PBE) for a geometry-optimized Np2Co3CuGe4 structure.

## Properties
ΔE_f, meV per atom: -239

Structure (CIF):
```
data_Np2Co3CuGe4
_space_group_name_H-M_alt 'P -4 m 2'
_space_group_IT_number 115
_space_group_name_Hall 'P -4 -2'
_cell_length_a 4.063
_cell_length_b 4.063
_cell_length_c 9.752
_cell_angle_alpha 90.00
_cell_angle_beta 90.00
_cell_angle_gamma 90.00
loop_
_atom_site_label
_atom_site_fract_x
_atom_site_fract_y
_atom_site_fract_z
Np1 0.000 0.500 0.245
Co1 0.000 0.500 0.872
Co2 0.500 0.500 0.500
Cu1 0.000 0.000 0.500
Ge1 0.000 0.000 0.000
Ge2 0.000 0.500 0.635
Ge3 0.500 0.500 0.000
```